(1)
A plane-wave DFT calculation with PBE was carried out for a relaxed KHg3Pd crystal.

Cell lengths 19.576, 7.580, 7.580 Å; angles 145.50, 147.64, 32.36 degrees
Atoms (fractional coordinates):
Hg (0.642, 0.278, 0.722)
Hg (0.029, 0.562, 0.438)
Hg (0.758, 0.502, 0.498)
Hg (0.971, 0.438, 0.562)
Hg (0.242, 0.498, 0.502)
Hg (0.358, 0.722, 0.278)
K (0.642, 0.974, 0.026)
K (0.358, 0.026, 0.974)
Pd (0.924, 0.875, 0.125)
Pd (0.076, 0.125, 0.875)

N(E_F), states/eV/cell: 3.61
SG: No. 12
E_form, eV per atom: -0.1725


(2)
A plane-wave DFT calculation with PBE was carried out for a relaxed KZr2Te crystal.

Cell lengths 5.242, 5.242, 7.613 Å; angles 82.74, 82.74, 39.20 degrees
Atoms (fractional coordinates):
Zr (0.989, 0.989, 0.969)
Zr (0.729, 0.729, 0.872)
K (0.516, 0.516, 0.486)
Te (0.266, 0.266, 0.173)

N(E_F), states/eV/cell: 4.34
SG: No. 8
ΔE_f (raw), eV/atom: 0.049


(3)
A plane-wave DFT calculation with PBE was carried out for a relaxed Tl7Pb2 crystal.

Cell lengths 6.147, 6.147, 8.490 Å; angles 90.00, 90.00, 120.00 degrees
Atoms (fractional coordinates):
Tl (0.332, 0.332, 0.333)
Tl (0.000, 0.000, 0.000)
Tl (0.000, 0.332, 0.667)
Tl (0.668, 0.668, 0.667)
Tl (0.668, 0.000, 0.333)
Tl (0.332, 0.000, 0.667)
Tl (0.000, 0.668, 0.333)
Pb (0.333, 0.667, 0.000)
Pb (0.667, 0.333, 0.000)

N(E_F), states/eV/cell: 2.89
SG: No. 162
E_form, eV per atom: -0.0023